Entry from Alexandria via LeMat-Bulk: crystalline LaPuRu at its relaxed geometry (PBE).

Structure (POSCAR):
```
LaPuRu
1.0
-1.800 1.800 5.640
1.800 -1.800 5.640
1.800 1.800 -5.640
La Pu Ru
1 1 1
Direct
0.000 0.000 0.000
0.287 0.287 0.000
0.693 0.693 0.000
```

Calculated values
Excess energy over the best structure of this formula in the dataset = 54 meV per atom
Energy of formation from the pure elements = -0.071 eV/atom
Total energy = -9.582 eV/atom
Calculated volume = 24.38 Å³/atom
DOS at the Fermi energy = 2.147 states/eV/atom